No. 1
# PBE-GGA SrZrBi2O, relaxed
data_SrZrBi2O
_space_group_name_H-M_alt 'P 1'
_space_group_IT_number 1
_cell_length_a 5.513
_cell_length_b 5.513
_cell_length_c 6.622
_cell_angle_alpha 90.00
_cell_angle_beta 90.00
_cell_angle_gamma 90.00
loop_
_space_group_symop_operation_xyz
'x,y,z'
loop_
_atom_site_label
_atom_site_type_symbol
_atom_site_fract_x
_atom_site_fract_y
_atom_site_fract_z
Sr1 Sr 0.000 0.000 0.000
Zr1 Zr 0.000 0.000 0.500
Bi1 Bi 0.000 0.500 0.500
Bi2 Bi 0.500 0.000 0.500
O1 O 0.500 0.500 0.000
# DFT total energy (eV/atom): -4.091
# Space group: P4/mmm
# Crystal system: tetragonal
# Total moment (μB/f.u.): 0.5



No. 2
# PBE-GGA ReMo2, relaxed
data_ReMo2
_space_group_name_H-M_alt 'P 1'
_space_group_IT_number 1
_cell_length_a 3.140
_cell_length_b 4.450
_cell_length_c 6.872
_cell_angle_alpha 90.00
_cell_angle_beta 103.19
_cell_angle_gamma 90.00
loop_
_space_group_symop_operation_xyz
'x,y,z'
loop_
_atom_site_label
_atom_site_type_symbol
_atom_site_fract_x
_atom_site_fract_y
_atom_site_fract_z
Re1 Re 0.082 0.250 0.166
Re2 Re 0.918 0.750 0.834
Mo1 Mo 0.249 0.750 0.499
Mo2 Mo 0.416 0.250 0.833
Mo3 Mo 0.584 0.750 0.167
Mo4 Mo 0.751 0.250 0.501
# DFT total energy (eV/atom): -11.319
# Space group: P2_1/m
# Crystal system: monoclinic
# Total moment (μB/f.u.): 0.0



No. 3
# PBE-GGA InReW2Au, relaxed
data_InReW2Au
_space_group_name_H-M_alt 'P 1'
_space_group_IT_number 1
_cell_length_a 4.844
_cell_length_b 4.844
_cell_length_c 4.783
_cell_angle_alpha 90.00
_cell_angle_beta 90.00
_cell_angle_gamma 90.00
loop_
_space_group_symop_operation_xyz
'x,y,z'
loop_
_atom_site_label
_atom_site_type_symbol
_atom_site_fract_x
_atom_site_fract_y
_atom_site_fract_z
In1 In 0.000 0.000 0.000
Re1 Re 0.000 0.000 0.500
W1 W 0.000 0.500 0.000
W2 W 0.500 0.000 0.000
Au1 Au 0.500 0.500 0.500
# DFT total energy (eV/atom): -5.910
# Space group: P4/mmm
# Crystal system: tetragonal
# Total moment (μB/f.u.): 0.0



No. 4
# PBE-GGA La2MoRu, relaxed
data_La2MoRu
_space_group_name_H-M_alt 'P 1'
_space_group_IT_number 1
_cell_length_a 3.292
_cell_length_b 4.046
_cell_length_c 7.896
_cell_angle_alpha 90.00
_cell_angle_beta 97.34
_cell_angle_gamma 90.00
loop_
_space_group_symop_operation_xyz
'x,y,z'
loop_
_atom_site_label
_atom_site_type_symbol
_atom_site_fract_x
_atom_site_fract_y
_atom_site_fract_z
La1 La 0.000 0.000 0.000
La2 La 0.291 0.500 0.590
Mo1 Mo 0.479 0.500 0.247
Ru1 Ru 0.841 0.000 0.358
# DFT total energy (eV/atom): -7.270
# Space group: Pm
# Crystal system: monoclinic
# Total moment (μB/f.u.): 0.0



No. 5
# PBE-GGA NdEr2Ga2, relaxed
data_NdEr2Ga2
_space_group_name_H-M_alt 'P 1'
_space_group_IT_number 1
_cell_length_a 8.299
_cell_length_b 8.299
_cell_length_c 3.679
_cell_angle_alpha 90.00
_cell_angle_beta 90.00
_cell_angle_gamma 90.00
loop_
_space_group_symop_operation_xyz
'x,y,z'
loop_
_atom_site_label
_atom_site_type_symbol
_atom_site_fract_x
_atom_site_fract_y
_atom_site_fract_z
Nd1 Nd 0.000 0.000 0.000
Nd2 Nd 0.500 0.500 0.000
Er1 Er 0.174 0.326 0.500
Er2 Er 0.326 0.826 0.500
Er3 Er 0.674 0.174 0.500
Er4 Er 0.826 0.674 0.500
Ga1 Ga 0.122 0.622 0.000
Ga2 Ga 0.378 0.122 0.000
Ga3 Ga 0.622 0.878 0.000
Ga4 Ga 0.878 0.378 0.000
# DFT total energy (eV/atom): -4.442
# Space group: P4/mbm
# Crystal system: tetragonal
# Total moment (μB/f.u.): 0.0



No. 6
# PBE-GGA SmPu2TaO8, relaxed
data_SmPu2TaO8
_space_group_name_H-M_alt 'P 1'
_space_group_IT_number 1
_cell_length_a 5.063
_cell_length_b 5.063
_cell_length_c 6.908
_cell_angle_alpha 90.00
_cell_angle_beta 90.00
_cell_angle_gamma 90.02
loop_
_space_group_symop_operation_xyz
'x,y,z'
loop_
_atom_site_label
_atom_site_type_symbol
_atom_site_fract_x
_atom_site_fract_y
_atom_site_fract_z
Sm1 Sm 0.000 0.000 0.000
Pu1 Pu 0.500 0.500 0.256
Pu2 Pu 0.500 0.500 0.744
Ta1 Ta 0.000 0.000 0.500
O1 O 0.187 0.187 0.283
O2 O 0.187 0.187 0.717
O3 O 0.288 0.712 0.500
O4 O 0.320 0.680 0.000
O5 O 0.680 0.320 0.000
O6 O 0.712 0.288 0.500
O7 O 0.813 0.813 0.283
O8 O 0.813 0.813 0.717
# DFT total energy (eV/atom): -10.120
# Space group: Cmmm
# Crystal system: orthorhombic
# Total moment (μB/f.u.): 8.0



No. 7
# PBE-GGA ZnGeO2, relaxed
data_ZnGeO2
_space_group_name_H-M_alt 'P 1'
_space_group_IT_number 1
_cell_length_a 8.281
_cell_length_b 8.281
_cell_length_c 8.281
_cell_angle_alpha 20.14
_cell_angle_beta 20.14
_cell_angle_gamma 20.14
loop_
_space_group_symop_operation_xyz
'x,y,z'
loop_
_atom_site_label
_atom_site_type_symbol
_atom_site_fract_x
_atom_site_fract_y
_atom_site_fract_z
Zn1 Zn 0.000 0.000 0.000
Ge1 Ge 0.500 0.500 0.500
O1 O 0.126 0.126 0.126
O2 O 0.874 0.874 0.874
# DFT total energy (eV/atom): -4.967
# Space group: R-3m
# Crystal system: trigonal
# Total moment (μB/f.u.): 0.0



No. 8
# PBE-GGA Hf5In5H2, relaxed
data_Hf5In5H2
_space_group_name_H-M_alt 'P 1'
_space_group_IT_number 1
_cell_length_a 5.584
_cell_length_b 5.584
_cell_length_c 10.697
_cell_angle_alpha 90.76
_cell_angle_beta 90.76
_cell_angle_gamma 42.34
loop_
_space_group_symop_operation_xyz
'x,y,z'
loop_
_atom_site_label
_atom_site_type_symbol
_atom_site_fract_x
_atom_site_fract_y
_atom_site_fract_z
Hf1 Hf 0.000 0.000 0.000
Hf2 Hf 0.089 0.089 0.696
Hf3 Hf 0.385 0.385 0.800
Hf4 Hf 0.615 0.615 0.200
Hf5 Hf 0.911 0.911 0.304
In1 In 0.206 0.206 0.399
In2 In 0.313 0.313 0.099
In3 In 0.500 0.500 0.500
In4 In 0.687 0.687 0.901
In5 In 0.794 0.794 0.601
H1 H 0.054 0.054 0.182
H2 H 0.946 0.946 0.818
# DFT total energy (eV/atom): -6.043
# Space group: C2/m
# Crystal system: monoclinic
# Total moment (μB/f.u.): 0.0



Number 1: calculated density 5.1 Mg/m³. Number 2: calculated density 13.4 Mg/m³. Number 3: calculated density 12.8 Mg/m³. Number 4: calculated density 7.6 Mg/m³. Number 5: calculated density 8.1 Mg/m³. Number 6: calculated density 8.9 Mg/m³. Number 7: calculated density 4.8 Mg/m³. Number 8: calculated density 10.9 Mg/m³.